1.
{"formula": "Hf8Ni2Sn", "functional": "PBE-GGA", "state": "optimized geometry", "total_magnetization_mub_per_atom": 0.000, "formation_enthalpy_0k_ev_per_atom": -0.1371, "lattice": [[4.913, -0.087, -0.131], [-0.944, 7.238, -0.258], [-0.944, -3.026, 6.581]], "species": ["Hf", "Hf", "Hf", "Hf", "Hf", "Hf", "Hf", "Hf", "Ni", "Ni", "Sn"], "fractional_positions": [[0.918, 0.916, 0.671], [0.918, 0.671, 0.916], [0.306, 0.596, 0.596], [0.500, 0.751, 0.249], [0.500, 0.249, 0.751], [0.694, 0.404, 0.404], [0.082, 0.329, 0.084], [0.082, 0.084, 0.329], [0.000, 0.302, 0.698], [0.000, 0.698, 0.302], [0.500, 0.000, 0.000]]}

2.
{"formula": "SrHfNi2", "functional": "PBE-GGA", "state": "optimized geometry", "total_magnetization_mub_per_atom": 0.000, "de_polymorph_mev_per_atom": 356, "formation_enthalpy_0k_ev_per_atom": 0.1498, "lattice": [[0.000, 3.359, 3.359], [3.359, 0.000, 3.359], [3.359, 3.359, 0.000]], "species": ["Sr", "Hf", "Ni", "Ni"], "fractional_positions": [[0.000, 0.000, 0.000], [0.500, 0.500, 0.500], [0.250, 0.250, 0.250], [0.750, 0.750, 0.750]]}

3.
{"formula": "SrHfNi2", "functional": "PBE-GGA", "state": "optimized geometry", "total_magnetization_mub_per_atom": 0.000, "de_polymorph_mev_per_atom": 538, "formation_enthalpy_0k_ev_per_atom": 0.3323, "lattice": [[-0.954, -3.191, 6.489], [5.745, -4.310, -1.275], [4.404, -1.490, 4.014]], "species": ["Sr", "Sr", "Hf", "Hf", "Ni", "Ni", "Ni", "Ni"], "fractional_positions": [[0.500, 0.500, 0.000], [0.250, 0.750, 0.500], [0.000, 0.000, 0.000], [0.750, 0.250, 0.500], [0.678, 0.125, 0.250], [0.072, 0.625, 0.250], [0.375, 0.322, 0.750], [0.875, 0.928, 0.750]]}

Copy entry 1 word for word.
{"formula": "Hf8Ni2Sn", "functional": "PBE-GGA", "state": "optimized geometry", "total_magnetization_mub_per_atom": 0.000, "formation_enthalpy_0k_ev_per_atom": -0.1371, "lattice": [[4.913, -0.087, -0.131], [-0.944, 7.238, -0.258], [-0.944, -3.026, 6.581]], "species": ["Hf", "Hf", "Hf", "Hf", "Hf", "Hf", "Hf", "Hf", "Ni", "Ni", "Sn"], "fractional_positions": [[0.918, 0.916, 0.671], [0.918, 0.671, 0.916], [0.306, 0.596, 0.596], [0.500, 0.751, 0.249], [0.500, 0.249, 0.751], [0.694, 0.404, 0.404], [0.082, 0.329, 0.084], [0.082, 0.084, 0.329], [0.000, 0.302, 0.698], [0.000, 0.698, 0.302], [0.500, 0.000, 0.000]]}